1.
! PBE Ac3HgOs, relaxed; values from VASP
! Total DFT energy (no corrections): -5.001 eV/atom
! SG: Pnma, No. 62
! E_form: -0.229 eV/atom
! Theoretical density: 10.14 g/cm3
! Energy relative to the lowest polymorph listed for this composition: 0.0 meV/atom
&SYSTEM
  ibrav = 0, nat = 20, ntyp = 3
/
ATOMIC_SPECIES
Ac 227.00 Ac.upf
Hg 200.59 Hg.upf
Os 190.23 Os.upf
ATOMIC_POSITIONS angstrom
Ac 9.612 1.134 1.693
Ac 0.002 3.403 14.404
Ac 1.523 1.134 8.427
Ac 1.666 3.403 4.821
Ac 3.142 1.134 12.870
Ac 3.284 3.403 0.378
Ac 4.805 1.134 6.356
Ac 4.810 3.403 9.742
Ac 6.330 1.134 15.719
Ac 6.473 3.403 3.228
Ac 7.949 1.134 11.276
Ac 8.092 3.403 7.670
Hg 1.098 3.403 11.029
Hg 3.709 1.134 2.980
Hg 5.905 3.403 13.117
Hg 8.516 1.134 5.069
Os 1.818 1.134 15.341
Os 2.989 3.403 7.292
Os 6.625 1.134 8.805
Os 7.797 3.403 0.756
CELL_PARAMETERS angstrom
9.615 0.000 0.000
0.000 4.538 0.000
0.000 0.000 16.097

2.
! PBE AcThHgOs, relaxed; values from VASP
! Total DFT energy (no corrections): -6.014 eV/atom
! SG: R3m, No. 160
! E_form: -0.249 eV/atom
! Theoretical density: 11.32 g/cm3
&SYSTEM
  ibrav = 0, nat = 4, ntyp = 4
/
ATOMIC_SPECIES
Ac 227.00 Ac.upf
Th 232.04 Th.upf
Hg 200.59 Hg.upf
Os 190.23 Os.upf
ATOMIC_POSITIONS angstrom
Ac 0.000 0.000 0.000
Th 0.000 0.000 18.950
Hg 0.000 0.000 5.410
Os 0.000 0.000 9.669
CELL_PARAMETERS angstrom
2.131 1.230 7.925
-2.131 1.230 7.925
0.000 -2.461 7.925

3.
! PBE Ac2HgP, relaxed; values from VASP
! Total DFT energy (no corrections): -4.241 eV/atom
! SG: P4/mmm, No. 123
! E_form: -0.759 eV/atom
! Theoretical density: 9.62 g/cm3
! Energy relative to the lowest polymorph listed for this composition: 136.0 meV/atom
&SYSTEM
  ibrav = 0, nat = 4, ntyp = 3
/
ATOMIC_SPECIES
Ac 227.00 Ac.upf
Hg 200.59 Hg.upf
P 30.97 P.upf
ATOMIC_POSITIONS angstrom
Ac 0.000 0.000 1.732
Ac 0.000 0.000 6.080
Hg 1.946 1.946 3.906
P 1.946 1.946 0.000
CELL_PARAMETERS angstrom
3.892 0.000 0.000
0.000 3.892 0.000
0.000 0.000 7.812

4.
! PBE Ac4Hg2P, relaxed; values from VASP
! Total DFT energy (no corrections): -3.728 eV/atom
! SG: I4/mmm, No. 139
! E_form: -0.521 eV/atom
! Theoretical density: 8.14 g/cm3
! Energy relative to the lowest polymorph listed for this composition: 126.2 meV/atom
&SYSTEM
  ibrav = 0, nat = 7, ntyp = 3
/
ATOMIC_SPECIES
Ac 227.00 Ac.upf
Hg 200.59 Hg.upf
P 30.97 P.upf
ATOMIC_POSITIONS angstrom
Ac 2.933 0.000 0.000
Ac 0.000 0.000 2.999
Ac 0.000 2.933 0.000
Ac 0.000 0.000 12.891
Hg 0.000 0.000 6.188
Hg 0.000 0.000 9.702
P 0.000 0.000 0.000
CELL_PARAMETERS angstrom
-2.933 2.933 7.945
2.933 -2.933 7.945
2.933 2.933 -7.945

Please write out number 1 again, unchanged.
! PBE Ac3HgOs, relaxed; values from VASP
! Total DFT energy (no corrections): -5.001 eV/atom
! SG: Pnma, No. 62
! E_form: -0.229 eV/atom
! Theoretical density: 10.14 g/cm3
! Energy relative to the lowest polymorph listed for this composition: 0.0 meV/atom
&SYSTEM
  ibrav = 0, nat = 20, ntyp = 3
/
ATOMIC_SPECIES
Ac 227.00 Ac.upf
Hg 200.59 Hg.upf
Os 190.23 Os.upf
ATOMIC_POSITIONS angstrom
Ac 9.612 1.134 1.693
Ac 0.002 3.403 14.404
Ac 1.523 1.134 8.427
Ac 1.666 3.403 4.821
Ac 3.142 1.134 12.870
Ac 3.284 3.403 0.378
Ac 4.805 1.134 6.356
Ac 4.810 3.403 9.742
Ac 6.330 1.134 15.719
Ac 6.473 3.403 3.228
Ac 7.949 1.134 11.276
Ac 8.092 3.403 7.670
Hg 1.098 3.403 11.029
Hg 3.709 1.134 2.980
Hg 5.905 3.403 13.117
Hg 8.516 1.134 5.069
Os 1.818 1.134 15.341
Os 2.989 3.403 7.292
Os 6.625 1.134 8.805
Os 7.797 3.403 0.756
CELL_PARAMETERS angstrom
9.615 0.000 0.000
0.000 4.538 0.000
0.000 0.000 16.097

What did the fourth record say?
! PBE Ac4Hg2P, relaxed; values from VASP
! Total DFT energy (no corrections): -3.728 eV/atom
! SG: I4/mmm, No. 139
! E_form: -0.521 eV/atom
! Theoretical density: 8.14 g/cm3
! Energy relative to the lowest polymorph listed for this composition: 126.2 meV/atom
&SYSTEM
  ibrav = 0, nat = 7, ntyp = 3
/
ATOMIC_SPECIES
Ac 227.00 Ac.upf
Hg 200.59 Hg.upf
P 30.97 P.upf
ATOMIC_POSITIONS angstrom
Ac 2.933 0.000 0.000
Ac 0.000 0.000 2.999
Ac 0.000 2.933 0.000
Ac 0.000 0.000 12.891
Hg 0.000 0.000 6.188
Hg 0.000 0.000 9.702
P 0.000 0.000 0.000
CELL_PARAMETERS angstrom
-2.933 2.933 7.945
2.933 -2.933 7.945
2.933 2.933 -7.945